# 1
A plane-wave DFT calculation with PBE-GGA was carried out for a relaxed structure of ThReP2.

The structure in CIF format:
```
data_ThReP2
_symmetry_space_group_name_H-M 'R -3 m'
_symmetry_Int_Tables_number 166
_symmetry_space_group_name_Hall '-R 3 2"'
_cell_length_a 4.3554
_cell_length_b 4.3554
_cell_length_c 22.0107
_cell_angle_alpha 90.00
_cell_angle_beta 90.00
_cell_angle_gamma 120.00
loop_
_atom_site_label
_atom_site_type_symbol
_atom_site_fract_x
_atom_site_fract_y
_atom_site_fract_z
Th1 Th 0.0000 0.0000 0.0000
Re1 Re 0.0000 0.0000 0.5000
P1 P 0.0000 0.0000 0.3955
```

Summary:
Calculated formation energy, meV per atom: 519

***

# 2
A plane-wave DFT calculation with PBE-GGA was carried out for a relaxed structure of Mg2AlAg5.

The structure in CIF format:
```
data_Mg2AlAg5
_symmetry_space_group_name_H-M 'P 4/m m m'
_symmetry_Int_Tables_number 123
_symmetry_space_group_name_Hall '-P 4 2'
_cell_length_a 6.143
_cell_length_b 6.143
_cell_length_c 4.748
_cell_angle_alpha 90.00
_cell_angle_beta 90.00
_cell_angle_gamma 90.00
loop_
_atom_site_label
_atom_site_type_symbol
_atom_site_fract_x
_atom_site_fract_y
_atom_site_fract_z
Mg1 Mg 0.000 0.500 0.000
Al1 Al 0.000 0.000 0.500
Ag1 Ag 0.000 0.000 0.000
Ag2 Ag 0.281 0.281 0.500
```

Summary:
Calculated formation energy, meV per atom: 213
Offset from the most stable computed form, meV per atom: 375

***

# 3
A plane-wave DFT calculation with PBE-GGA was carried out for a relaxed structure of IrCCl2.

The structure in CIF format:
```
data_IrCCl2
_symmetry_space_group_name_H-M 'R -3 m'
_symmetry_Int_Tables_number 166
_symmetry_space_group_name_Hall '-R 3 2"'
_cell_length_a 2.8349
_cell_length_b 2.8349
_cell_length_c 27.7807
_cell_angle_alpha 90.00
_cell_angle_beta 90.00
_cell_angle_gamma 120.00
loop_
_atom_site_label
_atom_site_type_symbol
_atom_site_fract_x
_atom_site_fract_y
_atom_site_fract_z
Ir1 Ir 0.0000 0.0000 0.0000
C1 C 0.0000 0.0000 0.5000
Cl1 Cl 0.0000 0.0000 0.4425
```

Summary:
Offset from the most stable computed form, meV per atom: 1010
Formation energy (no corrections), eV/atom: 1.642

***

# 4
A plane-wave DFT calculation with PBE-GGA was carried out for a relaxed structure of SrTeSe2.

The structure in CIF format:
```
data_SrTeSe2
_symmetry_space_group_name_H-M 'P m m m'
_symmetry_Int_Tables_number 47
_symmetry_space_group_name_Hall '-P 2 2'
_cell_length_a 3.884
_cell_length_b 5.174
_cell_length_c 5.195
_cell_angle_alpha 90.00
_cell_angle_beta 90.00
_cell_angle_gamma 90.00
loop_
_atom_site_label
_atom_site_type_symbol
_atom_site_fract_x
_atom_site_fract_y
_atom_site_fract_z
Sr1 Sr 0.000 0.000 0.000
Te1 Te 0.000 0.500 0.500
Se1 Se 0.500 0.000 0.500
Se2 Se 0.500 0.500 0.000
```

Summary:
Formation energy (no corrections), eV/atom: -0.782

***

Number 1: DOS(E_F) 8.98 states/eV/cell. Number 2: DOS(E_F) 3.02 states/eV/cell. Number 3: DOS(E_F) 7.14 states/eV/cell. Number 4: DOS(E_F) 1.47 states/eV/cell.